## La2MgHIr (PBE)

Data for an optimized crystal structure of La2MgHIr.

Properties
Energy   -5.083 eV/atom
Calculated density   7.7 g/cm3

abc: 5.3500 5.3500 3.7493
angles: 90.00 90.00 90.00
Space group P4/mmm (No. 123)
Inequivalent atoms, fractional coordinates:
La  0.0000  0.5000  0.0000 x2
Mg  0.0000  0.0000  0.5000 x1
H  0.5000  0.5000  0.0000 x1
Ir  0.5000  0.5000  0.5000 x1